{
  "formula": "YAlRe",
  "functional": "GGA-PBE",
  "state": "optimized geometry",
  "e_tot_ev_per_atom": -7.91,
  "vol_a3_per_atom": 19.00,
  "dos_ef_per_ev_cell": 4.3,
  "rho_g_cm3": 8.80,
  "e_above_lowest_polymorph_mev_per_atom": 0,
  "lattice_angstrom": [[-2.722, -3.949, 2.386], [2.348, -4.861, 0.647], [1.392, -1.561, 5.018]],
  "species": ["Y", "Y", "Al", "Al", "Re", "Re"],
  "frac_coords": [[0.882, 0.368, 0.368], [0.118, 0.632, 0.632], [0.500, 0.500, 0.000], [0.500, 0.000, 0.500], [0.000, 0.000, 0.000], [0.500, 0.000, 0.000]]
}

{
  "formula": "HfGaAu",
  "functional": "GGA-PBE",
  "state": "optimized geometry",
  "e_tot_ev_per_atom": -5.81,
  "vol_a3_per_atom": 18.46,
  "dos_ef_per_ev_cell": 3.9,
  "rho_g_cm3": 13.35,
  "lattice_angstrom": [[5.884, -0.014, -0.007], [1.467, 4.952, 0.007], [1.467, 3.171, 3.803]],
  "species": ["Hf", "Hf", "Au", "Au", "Ga", "Ga"],
  "frac_coords": [[0.609, 0.134, 0.653], [0.219, 0.826, 0.345], [0.735, 0.803, 0.322], [0.401, 0.485, 0.005], [0.103, 0.147, 0.667], [0.905, 0.470, 0.990]]
}

{
  "formula": "MgCd2Ag2",
  "functional": "GGA-PBE",
  "state": "optimized geometry",
  "e_tot_ev_per_atom": -1.78,
  "vol_a3_per_atom": 22.04,
  "dos_ef_per_ev_cell": 1.9,
  "rho_g_cm3": 7.00,
  "e_above_lowest_polymorph_mev_per_atom": 160,
  "lattice_angstrom": [[-2.888, 2.335, 1.318], [-2.412, -1.415, -2.777], [-4.761, -4.656, 3.710]],
  "species": ["Mg", "Ag", "Ag", "Cd", "Cd"],
  "frac_coords": [[0.000, 0.000, 0.000], [0.405, 0.405, 0.190], [0.595, 0.595, 0.810], [0.750, 0.250, 0.500], [0.250, 0.750, 0.500]]
}

{
  "formula": "HgSbPI2",
  "functional": "GGA-PBE",
  "state": "optimized geometry",
  "e_tot_ev_per_atom": -1.65,
  "raw_formation_energy_mev_per_atom": 933,
  "vol_a3_per_atom": 39.76,
  "dos_ef_per_ev_cell": 3.9,
  "rho_g_cm3": 5.07,
  "e_above_lowest_polymorph_mev_per_atom": 572,
  "lattice_angstrom": [[5.849, 0.000, 0.000], [0.000, 5.849, 0.000], [0.000, 0.000, 5.810]],
  "species": ["I", "I", "Sb", "Hg", "P"],
  "frac_coords": [[0.000, 0.500, 0.000], [0.500, 0.000, 0.000], [0.000, 0.000, 0.500], [0.000, 0.000, 0.000], [0.500, 0.500, 0.500]]
}

{
  "formula": "ZrTiRh",
  "functional": "GGA-PBE",
  "state": "optimized geometry",
  "e_tot_ev_per_atom": -8.46,
  "vol_a3_per_atom": 17.76,
  "dos_ef_per_ev_cell": 13.1,
  "rho_g_cm3": 7.54,
  "e_above_lowest_polymorph_mev_per_atom": 96,
  "lattice_angstrom": [[-3.448, -2.562, -3.120], [2.781, -2.893, 3.476], [-6.117, 1.128, 5.833]],
  "species": ["Zr", "Zr", "Zr", "Zr", "Ti", "Ti", "Ti", "Ti", "Rh", "Rh", "Rh", "Rh"],
  "frac_coords": [[0.328, 0.672, 0.184], [0.662, 0.338, 0.298], [0.662, 0.338, 0.702], [0.328, 0.672, 0.816], [0.848, 0.152, 0.000], [0.168, 0.349, 0.500], [0.651, 0.832, 0.500], [0.163, 0.837, 0.500], [0.995, 0.005, 0.259], [0.995, 0.005, 0.741], [0.844, 0.646, 0.000], [0.354, 0.156, 0.000]]
}

{
  "formula": "KGa2Pt3",
  "functional": "GGA-PBE",
  "state": "optimized geometry",
  "e_tot_ev_per_atom": -4.79,
  "vol_a3_per_atom": 18.97,
  "dos_ef_per_ev_cell": 2.4,
  "rho_g_cm3": 11.14,
  "lattice_angstrom": [[-0.766, 0.250, -3.841], [-3.232, -4.789, 0.332], [-2.425, 5.189, 0.821]],
  "species": ["K", "Ga", "Ga", "Pt", "Pt", "Pt"],
  "frac_coords": [[0.000, 0.001, 0.000], [0.000, 0.334, 0.667], [0.000, 0.668, 0.333], [0.500, 0.001, 0.500], [0.500, 0.501, 0.500], [0.500, 0.501, 0.000]]
}

{
  "formula": "Na5BrCl4",
  "functional": "GGA-PBE",
  "state": "optimized geometry",
  "e_tot_ev_per_atom": -3.32,
  "raw_formation_energy_mev_per_atom": -1752,
  "vol_a3_per_atom": 23.90,
  "dos_ef_per_ev_cell": 0.0,
  "rho_g_cm3": 2.34,
  "lattice_angstrom": [[-3.369, -0.792, -2.137], [-5.097, -1.388, 4.678], [-4.727, 7.764, 0.703]],
  "species": ["Na", "Na", "Na", "Na", "Na", "Br", "Cl", "Cl", "Cl", "Cl"],
  "frac_coords": [[0.203, 0.902, 0.693], [0.797, 0.098, 0.307], [0.395, 0.316, 0.894], [0.000, 0.500, 0.500], [0.605, 0.684, 0.106], [0.000, 0.000, 0.000], [0.600, 0.203, 0.598], [0.200, 0.397, 0.203], [0.800, 0.603, 0.797], [0.400, 0.797, 0.402]]
}

{
  "formula": "SmLuAs",
  "functional": "GGA-PBE",
  "state": "optimized geometry",
  "e_tot_ev_per_atom": -5.20,
  "vol_a3_per_atom": 26.96,
  "dos_ef_per_ev_cell": 3.4,
  "rho_g_cm3": 8.22,
  "lattice_angstrom": [[-2.333, -0.082, 3.547], [-0.567, -4.630, -0.481], [3.641, 1.676, 2.433]],
  "species": ["As", "Lu", "Sm"],
  "frac_coords": [[0.268, 0.333, 0.667], [0.116, 0.000, 0.000], [0.616, 0.667, 0.333]]
}

> Which formula does entry 4 have?

HgSbPI2